Record 1
DFT (PBE) results for crystalline SiPRhC at its relaxed geometry.

E_form (uncorrected)	-2	kJ per mole of atoms
excess energy over the best structure of this formula in the dataset	203	meV per atom

```
8
Lattice="5.5643 0.0000 -0.0116 0.0000 3.0841 0.0000 -4.6453 0.0000 6.6663" Properties=species:S:1:pos:R:3 pbc="T T T"
P 2.3853 0.0000 2.3669
P 0.0627 1.5421 5.7001
Rh -0.0855 0.0000 0.5335
Rh -2.4081 1.5421 3.8666
C -1.7530 1.5421 5.9420
C 0.5697 0.0000 2.6089
Si -0.1449 1.5421 3.3462
Si 2.1778 0.0000 0.0131
```

Record 2
DFT (PBE) results for crystalline SiPRhC at its relaxed geometry.

E_form (uncorrected)	32	kJ per mole of atoms
excess energy over the best structure of this formula in the dataset	548	meV per atom

```
4
Lattice="3.5126 -0.0052 -0.0108 1.3403 4.3583 -0.0249 1.4926 1.0799 4.1706" Properties=species:S:1:pos:R:3 pbc="T T T"
Rh 3.9043 2.0653 3.7557
Si 1.4674 2.0564 1.5044
C 2.2519 2.9582 2.8935
P 5.1666 4.1563 4.0380
```

Record 3
DFT (PBE) results for crystalline SiPRhC at its relaxed geometry.

E_form (uncorrected)	27	kJ per mole of atoms
excess energy over the best structure of this formula in the dataset	496	meV per atom

```
4
Lattice="3.2970 -0.0140 0.0112 -1.6407 4.0493 0.0057 -0.0124 -0.0225 4.4754" Properties=species:S:1:pos:R:3 pbc="T T T"
Rh -0.2881 3.4987 3.7631
P 3.0096 0.0958 1.0986
Si 1.3619 1.1838 2.2363
C 1.3624 2.9868 2.5555
```

Record 4
DFT (PBE) results for crystalline SiPRhC at its relaxed geometry.

E_form (uncorrected)	0	kJ per mole of atoms
excess energy over the best structure of this formula in the dataset	220	meV per atom

```
8
Lattice="6.1457 0.0000 0.0017 0.0000 3.0024 0.0000 -4.6586 0.0000 6.6291" Properties=species:S:1:pos:R:3 pbc="T T T"
C 0.9499 0.0000 4.6979
C 3.2793 1.5012 1.3833
P 2.7079 0.0000 4.8852
P 5.0373 1.5012 1.5706
Rh 0.1653 0.0000 0.3616
Rh -2.1640 1.5012 3.6761
Si -0.0537 1.5012 4.5474
Si 2.2756 0.0000 1.2328
```

Record 5
DFT (PBE) results for crystalline SiPRhC at its relaxed geometry.

E_form (uncorrected)	-21	kJ per mole of atoms
excess energy over the best structure of this formula in the dataset	0	meV per atom

```
4
Lattice="3.1121 0.0003 -0.0011 1.5545 2.6977 -0.0018 0.0107 0.0185 6.0822" Properties=species:S:1:pos:R:3 pbc="T T T"
P 1.8929 1.2282 5.9066
C 1.8823 1.2094 1.5965
Rh 3.4483 2.1278 4.5653
Si 0.3266 0.3097 2.3750
```

Record 6
DFT (PBE) results for crystalline SiPRhC at its relaxed geometry.

E_form (uncorrected)	33	kJ per mole of atoms
excess energy over the best structure of this formula in the dataset	563	meV per atom

```
4
Lattice="3.3685 0.0000 0.0000 -1.6843 2.9172 0.0000 0.0000 0.0000 6.2850" Properties=species:S:1:pos:R:3 pbc="T T T"
Si 1.6843 0.9724 3.2337
Rh 0.0000 1.9448 1.7429
P 1.6843 0.9724 0.2713
C 1.6843 0.9724 4.9621
```

Record 7
DFT (PBE) results for crystalline SiPRhC at its relaxed geometry.

E_form (uncorrected)	-17	kJ per mole of atoms
excess energy over the best structure of this formula in the dataset	44	meV per atom

```
12
Lattice="3.1557 0.0000 0.0000 -1.5779 2.7329 0.0000 0.0000 0.0000 18.9175" Properties=species:S:1:pos:R:3 pbc="T T T"
Si 0.0000 0.0000 12.4580
Si 1.5779 0.9110 18.7638
Si 0.0000 1.8220 6.1521
P 0.0000 0.0000 14.8241
P 0.0000 1.8220 8.5183
P 1.5779 0.9110 2.2125
C 1.5779 0.9110 12.0795
C 0.0000 1.8220 18.3853
C 0.0000 0.0000 5.7737
Rh 0.0000 0.0000 3.5502
Rh 0.0000 1.8220 16.1618
Rh 1.5779 0.9110 9.8560
```

Record 8
DFT (PBE) results for crystalline PRuC3 at its relaxed geometry.

excess energy over the best structure of this formula in the dataset	0	meV per atom
E_form	10.384	eV/f.u.

```
5
Lattice="3.6117 0.0000 0.0000 0.0000 3.6117 0.0000 0.0000 0.0000 3.6117" Properties=species:S:1:pos:R:3 pbc="T T T"
C 0.0000 1.8059 0.0000
C 1.8059 0.0000 0.0000
C 0.0000 0.0000 1.8059
Ru 1.8059 1.8059 1.8059
P 0.0000 0.0000 0.0000
```

Record 9
DFT (PBE) results for crystalline PRu2C at its relaxed geometry.

excess energy over the best structure of this formula in the dataset	0	meV per atom
E_form	0.424	eV/f.u.

```
8
Lattice="-1.3970 1.0546 -4.6539 -4.7692 -0.1456 1.3987 -2.9319 5.0363 -0.6348" Properties=species:S:1:pos:R:3 pbc="T T T"
Ru -7.3504 4.5801 -3.3960
Ru -4.7552 4.1107 -1.6252
Ru -3.9598 1.3538 -0.1043
Ru -2.1308 1.8461 -2.6545
P 0.0000 0.0000 0.0000
P -3.7060 3.2727 -3.4582
C -3.0831 0.4545 -1.6276
C -5.3921 2.6726 -0.4319
```

Record 10
DFT (PBE) results for crystalline PRu2C at its relaxed geometry.

excess energy over the best structure of this formula in the dataset	448	meV per atom
E_form	2.217	eV/f.u.

```
4
Lattice="0.0000 2.8246 2.8246 2.8246 0.0000 2.8246 2.8246 2.8246 0.0000" Properties=species:S:1:pos:R:3 pbc="T T T"
C 0.0000 0.0000 0.0000
Ru 1.4123 1.4123 1.4123
Ru 4.2368 4.2368 4.2368
P 2.8246 2.8246 2.8246
```

Record 11
DFT (PBE) results for crystalline P2RuC at its relaxed geometry.

E_form	0.525	eV/f.u.

```
8
Lattice="-1.3119 -3.7718 -3.1506 3.3794 -3.0600 2.2561 -1.7970 -4.6148 2.1668" Properties=species:S:1:pos:R:3 pbc="T T T"
C 1.0337 -3.4159 -0.4473
C 1.3081 -5.5454 1.9878
Ru 0.0000 0.0000 0.0000
Ru -1.0376 -5.9012 -0.7155
P 1.4152 -3.7782 1.3570
P -0.7631 -3.6530 -0.9445
P 0.2457 -9.2437 0.6985
P -0.3569 -6.2182 1.4336
```

Record 12
DFT (PBE) results for crystalline PRuC3 at its relaxed geometry.

excess energy over the best structure of this formula in the dataset	327	meV per atom
E_form	12.021	eV/f.u.

```
5
Lattice="-1.3609 3.6829 0.7299 -1.5346 0.1629 -3.6833 -3.4266 -1.5356 1.3597" Properties=species:S:1:pos:R:3 pbc="T T T"
Ru 0.0000 0.0000 0.0000
C -0.6804 1.8414 0.3649
C -0.7673 0.0815 -1.8417
C -1.7133 -0.7678 0.6799
P -3.1610 1.1551 -0.7968
```